Entry 1:
DFT (PBE) results for Y3Cd2InCuAu2 after structural relaxation.

Unit cell a=3.8446 b=7.7778 c=7.7778 alpha=120.07 beta=90.00 gamma=90.00
Sites, in units of the cell vectors:
1 Y 0.0000 0.0000 0.0000
2 Y 0.0000 0.1884 0.5993
3 Y 0.0000 0.5993 0.1884
4 Cd 0.5000 0.5964 0.8450
5 Cd 0.5000 0.8450 0.5964
6 In 0.5000 0.3500 0.3500
7 Cu 0.0000 0.5952 0.5952
8 Au 0.5000 0.2637 0.9315
9 Au 0.5000 0.9315 0.2637

Output
Final energy ... -4.4141 eV/atom
Crystal system ... orthorhombic

Entry 2:
DFT (PBE) results for Sr2AgAu2 after structural relaxation.

Unit cell a=5.9326 b=5.9326 c=4.5285 alpha=111.27 beta=111.27 gamma=69.81
Sites, in units of the cell vectors:
1 Sr 0.0000 0.0000 0.0000
2 Sr 0.5760 0.5760 0.5791
3 Ag 0.2864 0.2864 0.7885
4 Au 0.0019 0.5745 0.2893
5 Au 0.5745 0.0019 0.2893

Output
Final energy ... -3.1639 eV/atom
Crystal system ... monoclinic

Entry 3:
DFT (PBE) results for HfBeCdPd after structural relaxation.

Unit cell a=4.5251 b=4.5251 c=4.5251 alpha=60.00 beta=60.00 gamma=60.00
Sites, in units of the cell vectors:
1 Hf 0.0000 0.0000 0.0000
2 Be 0.2500 0.2500 0.2500
3 Cd 0.5000 0.5000 0.5000
4 Pd 0.7500 0.7500 0.7500

Output
Crystal system ... cubic
Energy above the lowest structure with this stoichiometry ... 0 meV per atom

Entry 4:
DFT (PBE) results for YEr2FeCo8 after structural relaxation.

Unit cell a=8.4598 b=8.4598 c=8.4598 alpha=34.29 beta=34.29 gamma=34.29
Sites, in units of the cell vectors:
1 Y 0.0000 0.0000 0.0000
2 Er 0.1398 0.1398 0.1398
3 Er 0.8602 0.8602 0.8602
4 Fe 0.5000 0.5000 0.5000
5 Co 0.0792 0.5839 0.5839
6 Co 0.3341 0.3341 0.3341
7 Co 0.4161 0.4161 0.9208
8 Co 0.4161 0.9208 0.4161
9 Co 0.5839 0.0792 0.5839
10 Co 0.5839 0.5839 0.0792
11 Co 0.6659 0.6659 0.6659
12 Co 0.9208 0.4161 0.4161

Output
Final energy ... -6.9215 eV/atom
Crystal system ... trigonal

Entry 5:
DFT (PBE) results for CsAgSnTe3 after structural relaxation.

Unit cell a=8.8898 b=8.8898 c=11.7343 alpha=90.00 beta=90.00 gamma=152.76
Sites, in units of the cell vectors:
1 Cs 0.2458 0.7542 0.7500
2 Cs 0.7542 0.2458 0.2500
3 Ag 0.0593 0.9407 0.2500
4 Ag 0.9407 0.0593 0.7500
5 Sn 0.5000 0.5000 0.0000
6 Sn 0.5000 0.5000 0.5000
7 Te 0.1239 0.8761 0.0332
8 Te 0.1239 0.8761 0.4668
9 Te 0.4479 0.5521 0.2500
10 Te 0.5521 0.4479 0.7500
11 Te 0.8761 0.1239 0.5332
12 Te 0.8761 0.1239 0.9668

Output
Crystal system ... orthorhombic
Energy above the lowest structure with this stoichiometry ... 55 meV per atom

Entry 6:
DFT (PBE) results for BaPa2Se5 after structural relaxation.

Unit cell a=9.0462 b=9.0462 c=9.0462 alpha=128.49 beta=128.49 gamma=75.83
Sites, in units of the cell vectors:
1 Ba 0.2500 0.2500 0.0000
2 Ba 0.7500 0.7500 0.0000
3 Pa 0.1556 0.6556 0.8111
4 Pa 0.3444 0.1556 0.5000
5 Pa 0.6556 0.8444 0.5000
6 Pa 0.8444 0.3444 0.1889
7 Se 0.0000 0.0000 0.0000
8 Se 0.0180 0.2220 0.5000
9 Se 0.2220 0.7220 0.2040
10 Se 0.2780 0.4820 0.5000
11 Se 0.4820 0.9820 0.2040
12 Se 0.5000 0.5000 0.0000
13 Se 0.5180 0.0180 0.7960
14 Se 0.7220 0.5180 0.5000
15 Se 0.7780 0.2780 0.7960
16 Se 0.9820 0.7780 0.5000

Output
Final energy ... -6.3995 eV/atom
Crystal system ... tetragonal

Entry 7:
DFT (PBE) results for Cs2Ni3S4 after structural relaxation.

Unit cell a=8.9549 b=7.9703 c=5.8742 alpha=79.02 beta=60.90 gamma=40.09
Sites, in units of the cell vectors:
1 Cs 0.1607 0.1607 0.8393
2 Cs 0.8393 0.8393 0.1607
3 Ni 0.0000 0.0000 0.5000
4 Ni 0.5000 0.5000 0.0000
5 Ni 0.5000 0.5000 0.5000
6 S 0.2365 0.5720 0.4280
7 S 0.4280 0.7635 0.2365
8 S 0.5720 0.2365 0.7635
9 S 0.7635 0.4280 0.5720

Output
Final energy ... -4.6232 eV/atom
Crystal system ... orthorhombic

Entry 8:
DFT (PBE) results for TaOsC2 after structural relaxation.

Unit cell a=3.1222 b=3.1222 c=4.4264 alpha=90.00 beta=90.00 gamma=90.00
Sites, in units of the cell vectors:
1 Ta 0.0000 0.0000 0.0000
2 Os 0.5000 0.5000 0.5000
3 C 0.0000 0.0000 0.5000
4 C 0.5000 0.5000 0.0000

Output
Final energy ... -9.9607 eV/atom
Crystal system ... tetragonal

Entry 9:
DFT (PBE) results for AcTbIr after structural relaxation.

Unit cell a=4.9364 b=4.9364 c=4.9364 alpha=60.00 beta=60.00 gamma=60.00
Sites, in units of the cell vectors:
1 Ac 0.0000 0.0000 0.0000
2 Tb 0.2500 0.2500 0.2500
3 Ir 0.7500 0.7500 0.7500

Output
Final energy ... -5.4166 eV/atom
Crystal system ... cubic

Entry 10:
DFT (PBE) results for HoSiNi2Ge after structural relaxation.

Unit cell a=5.5998 b=5.5998 c=5.5998 alpha=138.06 beta=138.06 gamma=60.81
Sites, in units of the cell vectors:
1 Ho 0.0000 0.0000 0.0000
2 Si 0.3706 0.3706 0.0000
3 Ni 0.2560 0.7560 0.5000
4 Ni 0.7560 0.2560 0.5000
5 Ge 0.6246 0.6246 0.0000

Output
Final energy ... -5.9277 eV/atom
Crystal system ... tetragonal

Entry 11:
DFT (PBE) results for SrTbGaTe3 after structural relaxation.

Unit cell a=8.0939 b=8.0939 c=10.9979 alpha=90.00 beta=90.00 gamma=147.75
Sites, in units of the cell vectors:
1 Sr 0.2337 0.7663 0.7500
2 Sr 0.7663 0.2337 0.2500
3 Tb 0.0000 0.0000 0.0000
4 Tb 0.0000 0.0000 0.5000
5 Ga 0.4842 0.5158 0.2500
6 Ga 0.5158 0.4842 0.7500
7 Te 0.1073 0.8927 0.2500
8 Te 0.3585 0.6415 0.0461
9 Te 0.3585 0.6415 0.4539
10 Te 0.6415 0.3585 0.5461
11 Te 0.6415 0.3585 0.9539
12 Te 0.8927 0.1073 0.7500

Output
Final energy ... -4.1480 eV/atom
Crystal system ... orthorhombic

Entry 12:
DFT (PBE) results for Cu2GeP2 after structural relaxation.

Unit cell a=3.7455 b=3.7455 c=6.4052 alpha=90.00 beta=90.00 gamma=120.00
Sites, in units of the cell vectors:
1 Cu 0.3333 0.6667 0.1077
2 Cu 0.6667 0.3333 0.8923
3 Ge 0.0000 0.0000 0.5000
4 P 0.3333 0.6667 0.7384
5 P 0.6667 0.3333 0.2616

Output
Final energy ... -4.5165 eV/atom
Crystal system ... trigonal

Entry 13:
DFT (PBE) results for Zr4Sb3 after structural relaxation.

Unit cell a=8.3687 b=8.3687 c=5.3953 alpha=90.00 beta=90.00 gamma=120.00
Sites, in units of the cell vectors:
1 Zr 0.0292 0.7907 0.2500
2 Zr 0.2093 0.2385 0.2500
3 Zr 0.2385 0.0292 0.7500
4 Zr 0.3333 0.6667 0.2500
5 Zr 0.6667 0.3333 0.7500
6 Zr 0.7615 0.9708 0.2500
7 Zr 0.7907 0.7615 0.7500
8 Zr 0.9708 0.2093 0.7500
9 Sb 0.0621 0.6247 0.7500
10 Sb 0.3753 0.4374 0.7500
11 Sb 0.4374 0.0621 0.2500
12 Sb 0.5626 0.9379 0.7500
13 Sb 0.6247 0.5626 0.2500
14 Sb 0.9379 0.3753 0.2500

Output
Crystal system ... hexagonal
Energy above the lowest structure with this stoichiometry ... 9 meV per atom